{"formula": "CrPbF2", "functional": "GGA+U", "state": "optimized geometry", "magmom_total_mub_per_fu": 4.0, "relative_energy_ev_per_atom": 0.0000, "cell": [[1.7013, 0.9822, 7.8818], [-1.7013, 0.9822, 7.8818], [0.0000, -1.9645, 7.8818]], "species": ["Cr", "Pb", "F", "F"], "frac_coords": [[0.0000, 0.0000, 0.0000], [0.5000, 0.5000, 0.5000], [0.3728, 0.3728, 0.3728], [0.6272, 0.6272, 0.6272]]}